# 1
## Pm3PaSn12 (GGA-PBE)

Data for a geometry-optimized Pm3PaSn12 structure.

Results
V in A^3/atom: 26.4
Energy relative to the elements in eV/atom: -0.44
DOS at the Fermi energy in states/eV/f.u.: 9.983
VASP energy in eV per atom: -4.9260
Space-group type: No. 123

a b c (Å): 4.744 4.744 18.755
angles (deg): 90.00 90.00 90.00
Positions (direct):
Pm1 0.000 0.000 0.000
Pm2 0.000 0.000 0.256
Pm3 0.000 0.000 0.744
Pa1 0.000 0.000 0.500
Sn1 0.000 0.500 0.127
Sn2 0.000 0.500 0.379
Sn3 0.000 0.500 0.621
Sn4 0.000 0.500 0.873
Sn5 0.500 0.000 0.127
Sn6 0.500 0.000 0.379
Sn7 0.500 0.000 0.621
Sn8 0.500 0.000 0.873
Sn9 0.500 0.500 0.000
Sn10 0.500 0.500 0.251
Sn11 0.500 0.500 0.500
Sn12 0.500 0.500 0.749



# 2
## SbTeW2 (GGA-PBE)

Data for a geometry-optimized SbTeW2 structure.

Results
V in A^3/atom: 19.1
DOS at the Fermi energy in states/eV/f.u.: 3.628
VASP energy in eV per atom: -7.5138
ΔE_f (raw) in eV per atom: 0.7789
Space-group type: No. 12

a b c (Å): 4.706 4.706 5.561
angles (deg): 101.59 101.59 39.44
Positions (direct):
Sb1 0.000 0.000 0.000
Te1 0.500 0.500 0.500
W1 0.252 0.252 0.745
W2 0.748 0.748 0.255



# 3
## MnCd2Ru (GGA-PBE)

Data for a geometry-optimized MnCd2Ru structure.

Results
V in A^3/atom: 17.1
Energy relative to the elements in eV/atom: 0.25
DOS at the Fermi energy in states/eV/f.u.: 2.219
VASP energy in eV per atom: -4.8151
Space-group type: No. 139

a b c (Å): 5.072 5.072 5.072
angles (deg): 133.14 133.14 68.43
Positions (direct):
Mn1 0.000 0.000 0.000
Cd1 0.250 0.750 0.500
Cd2 0.750 0.250 0.500
Ru1 0.500 0.500 0.000



# 4
## Zr2TlPt (GGA-PBE)

Data for a geometry-optimized Zr2TlPt structure.

Results
V in A^3/atom: 20.4
Energy relative to the elements in eV/atom: -0.43
DOS at the Fermi energy in states/eV/f.u.: 4.918
VASP energy in eV per atom: -6.8009
Space-group type: No. 123

a b c (Å): 4.388 4.388 4.239
angles (deg): 90.00 90.00 90.00
Positions (direct):
Zr1 0.000 0.500 0.000
Zr2 0.500 0.000 0.000
Tl1 0.000 0.000 0.500
Pt1 0.500 0.500 0.500



# 5
## KYSi2 (GGA-PBE)

Data for a geometry-optimized KYSi2 structure.

Results
V in A^3/atom: 23.2
DOS at the Fermi energy in states/eV/f.u.: 1.112
VASP energy in eV per atom: -4.4548
ΔE_f (raw) in eV per atom: 0.1471
Space-group type: No. 123

a b c (Å): 4.614 4.614 4.350
angles (deg): 90.00 90.00 90.00
Positions (direct):
K1 0.000 0.000 0.000
Y1 0.500 0.500 0.000
Si1 0.000 0.500 0.500
Si2 0.500 0.000 0.500



# 6
## CaSmTe4Pb2 (GGA-PBE)

Data for a geometry-optimized CaSmTe4Pb2 structure.

Results
V in A^3/atom: 34.2
DOS at the Fermi energy in states/eV/f.u.: 4.548
VASP energy in eV per atom: -4.2211
ΔE_f (raw) in eV per atom: -0.8831
Space-group type: No. 10

a b c (Å): 7.880 4.565 8.064
angles (deg): 90.00 109.46 90.00
Positions (direct):
Ca1 0.000 0.000 0.000
Sm1 0.000 0.500 0.500
Te1 0.241 0.000 0.745
Te2 0.241 0.500 0.249
Te3 0.759 0.000 0.255
Te4 0.759 0.500 0.751
Pb1 0.500 0.000 0.500
Pb2 0.500 0.500 0.000



# 7
## AsRhIN2 (GGA-PBE)

Data for a geometry-optimized AsRhIN2 structure.

Results
V in A^3/atom: 22.2
DOS at the Fermi energy in states/eV/f.u.: 6.320
VASP energy in eV per atom: -4.5760
ΔE_f (raw) in eV per atom: 1.4644
Space-group type: No. 123

a b c (Å): 3.711 3.711 8.057
angles (deg): 90.00 90.00 90.00
Positions (direct):
As1 0.000 0.000 0.000
Rh1 0.500 0.500 0.500
I1 0.000 0.000 0.500
N1 0.000 0.500 0.000
N2 0.500 0.000 0.000



# 8
## Nd4SiGe3 (GGA-PBE)

Data for a geometry-optimized Nd4SiGe3 structure.

Results
V in A^3/atom: 25.1
DOS at the Fermi energy in states/eV/f.u.: 6.764
VASP energy in eV per atom: -5.6150
ΔE_f (raw) in eV per atom: -0.8217
Space-group type: No. 25

a b c (Å): 4.044 4.482 11.068
angles (deg): 90.00 90.00 90.00
Positions (direct):
Nd1 0.000 0.000 0.000
Nd2 0.000 0.500 0.497
Nd3 0.500 0.000 0.720
Nd4 0.500 0.500 0.221
Si1 0.000 0.000 0.282
Ge1 0.000 0.500 0.778
Ge2 0.500 0.000 0.436
Ge3 0.500 0.500 0.940



# 9
## LaZn2Ru (GGA-PBE)

Data for a geometry-optimized LaZn2Ru structure.

Results
V in A^3/atom: 18.9
Energy relative to the elements in eV/atom: -0.14
DOS at the Fermi energy in states/eV/f.u.: 1.862
VASP energy in eV per atom: -4.3270
Space-group type: No. 139

a b c (Å): 5.224 5.224 5.224
angles (deg): 132.60 132.60 69.28
Positions (direct):
La1 0.000 0.000 0.000
Zn1 0.250 0.750 0.500
Zn2 0.750 0.250 0.500
Ru1 0.500 0.500 0.000



# 10
## Cs2SrAg2F7 (GGA-PBE)

Data for a geometry-optimized Cs2SrAg2F7 structure.

Results
V in A^3/atom: 19.5
DOS at the Fermi energy in states/eV/f.u.: 4.934
VASP energy in eV per atom: -4.1346
ΔE_f (raw) in eV per atom: -2.2854
Space-group type: No. 139

a b c (Å): 11.997 11.997 11.997
angles (deg): 158.39 158.39 30.75
Positions (direct):
Cs1 0.180 0.180 0.000
Cs2 0.820 0.820 0.000
Sr1 0.000 0.000 0.000
Ag1 0.405 0.405 0.000
Ag2 0.595 0.595 0.000
F1 0.071 0.571 0.500
F2 0.307 0.307 0.000
F3 0.429 0.929 0.500
F4 0.500 0.500 0.000
F5 0.571 0.071 0.500
F6 0.693 0.693 0.000
F7 0.929 0.429 0.500



# 11
## HgIr3W (GGA-PBE)

Data for a geometry-optimized HgIr3W structure.

Results
V in A^3/atom: 21.8
Energy relative to the elements in eV/atom: 1.56
DOS at the Fermi energy in states/eV/f.u.: 5.234
VASP energy in eV per atom: -6.4030
Space-group type: No. 221

a b c (Å): 4.778 4.778 4.778
angles (deg): 90.00 90.00 90.00
Positions (direct):
Hg1 0.000 0.000 0.000
Ir1 0.000 0.500 0.500
Ir2 0.500 0.000 0.500
Ir3 0.500 0.500 0.000
W1 0.500 0.500 0.500



# 12
## Nd4AgOs (GGA-PBE)

Data for a geometry-optimized Nd4AgOs structure.

Results
V in A^3/atom: 28.4
Energy relative to the elements in eV/atom: -0.15
DOS at the Fermi energy in states/eV/f.u.: 6.003
VASP energy in eV per atom: -5.6780
Space-group type: No. 216

a b c (Å): 9.875 9.875 9.875
angles (deg): 60.00 60.00 60.00
Positions (direct):
Nd1 0.191 0.191 0.809
Nd2 0.191 0.809 0.191
Nd3 0.191 0.809 0.809
Nd4 0.403 0.403 0.403
Nd5 0.403 0.403 0.791
Nd6 0.403 0.791 0.403
Nd7 0.558 0.558 0.942
Nd8 0.558 0.942 0.558
Nd9 0.558 0.942 0.942
Nd10 0.791 0.403 0.403
Nd11 0.809 0.191 0.191
Nd12 0.809 0.191 0.809
Nd13 0.809 0.809 0.191
Nd14 0.942 0.558 0.558
Nd15 0.942 0.558 0.942
Nd16 0.942 0.942 0.558
Ag1 0.170 0.170 0.170
Ag2 0.170 0.170 0.491
Ag3 0.170 0.491 0.170
Ag4 0.491 0.170 0.170
Os1 0.165 0.612 0.612
Os2 0.612 0.165 0.612
Os3 0.612 0.612 0.165
Os4 0.612 0.612 0.612



# 13
## Ag3SbF (GGA-PBE)

Data for a geometry-optimized Ag3SbF structure.

Results
V in A^3/atom: 29.3
DOS at the Fermi energy in states/eV/f.u.: 11.582
VASP energy in eV per atom: -2.7216
ΔE_f (raw) in eV per atom: 0.1879
Space-group type: No. 221

a b c (Å): 5.270 5.270 5.270
angles (deg): 90.00 90.00 90.00
Positions (direct):
Ag1 0.000 0.000 0.500
Ag2 0.000 0.500 0.000
Ag3 0.500 0.000 0.000
Sb1 0.000 0.000 0.000
F1 0.500 0.500 0.500



# 14
## BaGeCl (GGA-PBE)

Data for a geometry-optimized BaGeCl structure.

Results
V in A^3/atom: 34.9
DOS at the Fermi energy in states/eV/f.u.: 0.470
VASP energy in eV per atom: -4.2159
ΔE_f (raw) in eV per atom: -1.4203
Space-group type: No. 2

a b c (Å): 4.502 4.506 11.930
angles (deg): 88.25 89.14 60.06
Positions (direct):
Ba1 0.000 0.018 0.281
Ba2 0.000 0.982 0.719
Ge1 0.333 0.336 0.463
Ge2 0.667 0.664 0.537
Cl1 0.334 0.305 0.852
Cl2 0.666 0.695 0.148



# 15
## UMn3P3 (GGA-PBE)

Data for a geometry-optimized UMn3P3 structure.

Results
V in A^3/atom: 17.0
Energy relative to the elements in eV/atom: -0.13
DOS at the Fermi energy in states/eV/f.u.: 8.112
VASP energy in eV per atom: -7.9948
Space-group type: No. 223

a b c (Å): 6.202 6.202 6.202
angles (deg): 90.00 90.00 90.00
Positions (direct):
U1 0.000 0.000 0.000
U2 0.500 0.500 0.500
Mn1 0.000 0.250 0.500
Mn2 0.000 0.750 0.500
Mn3 0.250 0.500 0.000
Mn4 0.500 0.000 0.250
Mn5 0.500 0.000 0.750
Mn6 0.750 0.500 0.000
P1 0.000 0.500 0.250
P2 0.000 0.500 0.750
P3 0.250 0.000 0.500
P4 0.500 0.250 0.000
P5 0.500 0.750 0.000
P6 0.750 0.000 0.500



# 16
## RbMoPt2 (GGA-PBE)

Data for a geometry-optimized RbMoPt2 structure.

Results
V in A^3/atom: 20.2
Energy relative to the elements in eV/atom: 0.96
DOS at the Fermi energy in states/eV/f.u.: 4.710
VASP energy in eV per atom: -5.0097
Space-group type: No. 225

a b c (Å): 4.849 4.849 4.849
angles (deg): 60.00 60.00 60.00
Positions (direct):
Rb1 0.000 0.000 0.000
Mo1 0.500 0.500 0.500
Pt1 0.250 0.250 0.250
Pt2 0.750 0.750 0.750



# 17
## PrNdSeO (GGA-PBE)

Data for a geometry-optimized PrNdSeO structure.

Results
V in A^3/atom: 24.5
DOS at the Fermi energy in states/eV/f.u.: 1.782
VASP energy in eV per atom: -6.7337
ΔE_f (raw) in eV per atom: -2.2362
Space-group type: No. 166

a b c (Å): 14.378 14.378 14.378
angles (deg): 15.96 15.96 15.96
Positions (direct):
Pr1 0.000 0.000 0.000
Pr2 0.500 0.500 0.500
Nd1 0.242 0.242 0.242
Nd2 0.758 0.758 0.758
Se1 0.377 0.377 0.377
Se2 0.623 0.623 0.623
O1 0.190 0.190 0.190
O2 0.810 0.810 0.810



# 18
## TlCd2Rh2 (GGA-PBE)

Data for a geometry-optimized TlCd2Rh2 structure.

Results
V in A^3/atom: 19.5
Energy relative to the elements in eV/atom: -0.07
DOS at the Fermi energy in states/eV/f.u.: 2.361
VASP energy in eV per atom: -3.8465
Space-group type: No. 127

a b c (Å): 6.931 6.931 4.063
angles (deg): 90.00 90.00 90.00
Positions (direct):
Tl1 0.000 0.000 0.000
Tl2 0.500 0.500 0.000
Cd1 0.158 0.342 0.500
Cd2 0.342 0.842 0.500
Cd3 0.658 0.158 0.500
Cd4 0.842 0.658 0.500
Rh1 0.138 0.638 0.000
Rh2 0.362 0.138 0.000
Rh3 0.638 0.862 0.000
Rh4 0.862 0.362 0.000



# 19
## NaSrRuRh2 (GGA-PBE)

Data for a geometry-optimized NaSrRuRh2 structure.

Results
V in A^3/atom: 21.9
Energy relative to the elements in eV/atom: 1.30
DOS at the Fermi energy in states/eV/f.u.: 8.480
VASP energy in eV per atom: -4.0952
Space-group type: No. 123

a b c (Å): 4.798 4.798 4.747
angles (deg): 90.00 90.00 90.00
Positions (direct):
Na1 0.000 0.000 0.000
Sr1 0.500 0.500 0.500
Ru1 0.000 0.000 0.500
Rh1 0.000 0.500 0.000
Rh2 0.500 0.000 0.000



# 20
## ZnMoIr (GGA-PBE)

Data for a geometry-optimized ZnMoIr structure.

Results
V in A^3/atom: 17.4
Energy relative to the elements in eV/atom: 0.10
DOS at the Fermi energy in states/eV/f.u.: 4.315
VASP energy in eV per atom: -6.8888
Space-group type: No. 216

a b c (Å): 4.197 4.197 4.197
angles (deg): 60.00 60.00 60.00
Positions (direct):
Zn1 0.000 0.000 0.000
Mo1 0.500 0.500 0.500
Ir1 0.750 0.750 0.750



# 21
## YFe2Ir (GGA-PBE)

Data for a geometry-optimized YFe2Ir structure.

Results
V in A^3/atom: 16.1
Energy relative to the elements in eV/atom: 0.17
DOS at the Fermi energy in states/eV/f.u.: 3.030
VASP energy in eV per atom: -7.8961
Space-group type: No. 12

a b c (Å): 5.137 5.137 2.918
angles (deg): 101.11 101.11 116.28
Positions (direct):
Y1 0.000 0.000 0.000
Fe1 0.000 0.500 0.500
Fe2 0.500 0.000 0.500
Ir1 0.500 0.500 0.000



# 22
## La5PmNd2Sm (GGA-PBE)

Data for a geometry-optimized La5PmNd2Sm structure.

Results
V in A^3/atom: 36.1
Energy relative to the elements in eV/atom: 0.24
DOS at the Fermi energy in states/eV/f.u.: 16.509
VASP energy in eV per atom: -4.6052
Space-group type: No. 140

a b c (Å): 10.239 10.239 10.239
angles (deg): 127.87 127.87 76.84
Positions (direct):
La1 0.000 0.000 0.000
La2 0.064 0.564 0.907
La3 0.157 0.064 0.500
La4 0.343 0.843 0.907
La5 0.436 0.343 0.500
La6 0.500 0.500 0.000
La7 0.564 0.657 0.500
La8 0.657 0.157 0.093
La9 0.843 0.936 0.500
La10 0.936 0.436 0.093
Pm1 0.250 0.250 0.000
Pm2 0.750 0.750 0.000
Nd1 0.118 0.382 0.500
Nd2 0.382 0.882 0.263
Nd3 0.618 0.118 0.737
Nd4 0.882 0.618 0.500
Sm1 0.250 0.750 0.500
Sm2 0.750 0.250 0.500



# 23
## ZrHgAu2 (GGA-PBE)

Data for a geometry-optimized ZrHgAu2 structure.

Results
V in A^3/atom: 21.3
Energy relative to the elements in eV/atom: -0.18
DOS at the Fermi energy in states/eV/f.u.: 1.203
VASP energy in eV per atom: -4.0280
Space-group type: No. 166

a b c (Å): 9.469 9.469 9.469
angles (deg): 19.79 19.79 19.79
Positions (direct):
Zr1 0.000 0.000 0.000
Hg1 0.500 0.500 0.500
Au1 0.254 0.254 0.254
Au2 0.746 0.746 0.746



# 24
## Re2NiH (GGA-PBE)

Data for a geometry-optimized Re2NiH structure.

Results
V in A^3/atom: 11.6
DOS at the Fermi energy in states/eV/f.u.: 5.172
VASP energy in eV per atom: -7.7521
Space-group type: No. 225

a b c (Å): 4.031 4.031 4.031
angles (deg): 60.00 60.00 60.00
Positions (direct):
Re1 0.250 0.250 0.250
Re2 0.750 0.750 0.750
Ni1 0.000 0.000 0.000
H1 0.500 0.500 0.500



# 25
## Sm8GaSn6 (GGA-PBE)

Data for a geometry-optimized Sm8GaSn6 structure.

Results
V in A^3/atom: 31.8
Energy relative to the elements in eV/atom: -0.58
DOS at the Fermi energy in states/eV/f.u.: 8.909
VASP energy in eV per atom: -4.8996
Space-group type: No. 148

a b c (Å): 8.314 8.314 8.314
angles (deg): 68.21 68.21 68.21
Positions (direct):
Sm1 0.138 0.397 0.677
Sm2 0.168 0.168 0.168
Sm3 0.323 0.862 0.603
Sm4 0.397 0.677 0.138
Sm5 0.603 0.323 0.862
Sm6 0.677 0.138 0.397
Sm7 0.832 0.832 0.832
Sm8 0.862 0.603 0.323
Ga1 0.500 0.500 0.500
Sn1 0.052 0.800 0.431
Sn2 0.200 0.569 0.948
Sn3 0.431 0.052 0.800
Sn4 0.569 0.948 0.200
Sn5 0.800 0.431 0.052
Sn6 0.948 0.200 0.569